No. 1
# MgZrTlCu (PBE, optimized geometry)
data_MgZrTlCu
_symmetry_space_group_name_H-M 'F -4 3 m'
_symmetry_Int_Tables_number 216
_symmetry_space_group_name_Hall 'F -4 2 3'
_cell_length_a 6.736
_cell_length_b 6.736
_cell_length_c 6.736
_cell_angle_alpha 90.00
_cell_angle_beta 90.00
_cell_angle_gamma 90.00
loop_
_atom_site_label
_atom_site_fract_x
_atom_site_fract_y
_atom_site_fract_z
_atom_site_occupancy
Mg1 0.000 0.000 0.000 1
Zr1 0.250 0.250 0.750 1
Tl1 0.250 0.250 0.250 1
Cu1 0.000 0.000 0.500 1
# energy above the lowest structure with this stoichiometry = 0.0 meV/atom
# total magnetic moment = 0.02 μB per cell
# crystal system = cubic



No. 2
# Y5Mg16Cu5 (PBE, optimized geometry)
data_Y5Mg16Cu5
_symmetry_space_group_name_H-M 'C m c m'
_symmetry_Int_Tables_number 63
_symmetry_space_group_name_Hall '-C 2c 2'
_cell_length_a 4.109
_cell_length_b 19.109
_cell_length_c 29.011
_cell_angle_alpha 90.00
_cell_angle_beta 90.00
_cell_angle_gamma 90.00
loop_
_atom_site_label
_atom_site_fract_x
_atom_site_fract_y
_atom_site_fract_z
_atom_site_occupancy
Y1 0.000 0.088 0.123 1
Y2 0.000 0.105 0.657 1
Y3 0.000 0.127 0.250 1
Mg1 0.000 0.047 0.546 1
Mg2 0.000 0.191 0.011 1
Mg3 0.000 0.234 0.750 1
Mg4 0.000 0.257 0.168 1
Mg5 0.000 0.279 0.591 1
Mg6 0.000 0.338 0.071 1
Mg7 0.000 0.378 0.250 1
Mg8 0.000 0.425 0.533 1
Mg9 0.000 0.482 0.696 1
Cu1 0.000 0.029 0.750 1
Cu2 0.000 0.335 0.680 1
Cu3 0.000 0.475 0.105 1
# total DFT energy (no corrections) = -0.2248 Ry/atom
# total magnetic moment = 0.00 μB per cell
# crystal system = orthorhombic



No. 3
# Y3Mg3ZnCu2 (PBE, optimized geometry)
data_Y3Mg3ZnCu2
_symmetry_space_group_name_H-M 'P -6 2 m'
_symmetry_Int_Tables_number 189
_symmetry_space_group_name_Hall 'P -6 -2'
_cell_length_a 7.4959
_cell_length_b 7.4959
_cell_length_c 4.0587
_cell_angle_alpha 90.00
_cell_angle_beta 90.00
_cell_angle_gamma 120.00
loop_
_atom_site_label
_atom_site_fract_x
_atom_site_fract_y
_atom_site_fract_z
_atom_site_occupancy
Y1 0.0000 0.5842 0.0000 1
Mg1 0.0000 0.2462 0.5000 1
Zn1 0.0000 0.0000 0.0000 1
Cu1 0.3333 0.6667 0.5000 1
# total DFT energy (no corrections) = -0.2846 Ry/atom
# total magnetic moment = 0.01 μB per cell
# crystal system = hexagonal



No. 4
# MgZnCu (PBE, optimized geometry)
data_MgZnCu
_symmetry_space_group_name_H-M 'P n m a'
_symmetry_Int_Tables_number 62
_cell_length_a 5.843
_cell_length_b 4.203
_cell_length_c 7.493
_cell_angle_alpha 90.00
_cell_angle_beta 90.00
_cell_angle_gamma 90.00
loop_
_symmetry_equiv_pos_as_xyz
'x,y,z'
'-x,-y,-z'
'-x+1/2,-y,z+1/2'
'x+1/2,y,-z+1/2'
'x+1/2,-y+1/2,-z+1/2'
'-x+1/2,y+1/2,z+1/2'
'-x,y+1/2,-z'
'x,-y+1/2,z'
loop_
_atom_site_label
_atom_site_fract_x
_atom_site_fract_y
_atom_site_fract_z
_atom_site_occupancy
Mg1 0.001 0.250 0.246 1
Zn1 0.242 0.250 0.582 1
Cu1 0.247 0.750 0.413 1
# total DFT energy (no corrections) = -0.1679 Ry/atom
# crystal system = orthorhombic



No. 5
# MgZnCu (PBE, optimized geometry)
data_MgZnCu
_symmetry_space_group_name_H-M 'P -4'
_symmetry_Int_Tables_number 81
_cell_length_a 5.068
_cell_length_b 5.068
_cell_length_c 7.130
_cell_angle_alpha 90.00
_cell_angle_beta 90.00
_cell_angle_gamma 90.00
loop_
_symmetry_equiv_pos_as_xyz
'x,y,z'
'y,-x,-z'
'-x,-y,z'
'-y,x,-z'
loop_
_atom_site_label
_atom_site_fract_x
_atom_site_fract_y
_atom_site_fract_z
_atom_site_occupancy
Mg1 0.000 0.000 0.000 1
Mg2 0.000 0.500 0.232 1
Mg3 0.500 0.500 0.500 1
Zn1 0.000 0.251 0.631 1
Cu1 0.253 0.501 0.876 1
# total DFT energy (no corrections) = -0.1729 Ry/atom
# crystal system = tetragonal



No. 6
# MgZnCu2 (PBE, optimized geometry)
data_MgZnCu2
_symmetry_space_group_name_H-M 'P m -3 m'
_symmetry_Int_Tables_number 221
_symmetry_space_group_name_Hall '-P 4 2 3'
_cell_length_a 6.068
_cell_length_b 6.068
_cell_length_c 6.068
_cell_angle_alpha 90.00
_cell_angle_beta 90.00
_cell_angle_gamma 90.00
loop_
_atom_site_label
_atom_site_fract_x
_atom_site_fract_y
_atom_site_fract_z
_atom_site_occupancy
Mg1 0.000 0.000 0.000 1
Mg2 0.000 0.000 0.500 1
Zn1 0.000 0.500 0.500 1
Zn2 0.500 0.500 0.500 1
Cu1 0.261 0.261 0.261 1
# total DFT energy (no corrections) = -0.1960 Ry/atom
# crystal system = cubic



Number 1: theoretical density 8.3 g cm⁻³. Number 2: theoretical density 3.4 g cm⁻³. Number 3: theoretical density 4.5 g cm⁻³. Number 4: theoretical density 5.5 g cm⁻³. Number 5: theoretical density 5.6 g cm⁻³. Number 6: theoretical density 6.4 g cm⁻³.